(1)
DFT (GGA-PBE) results for Ba2ErPbS5 after structural relaxation.

abc: 4.241 17.909 13.170
angles: 90.00 90.00 90.00
Space group Cmc2_1 (No. 36)
Inequivalent atoms, fractional coordinates:
Ba  0.000  0.113  0.000 [4 per cell]
Ba  0.000  0.142  0.621 [4 per cell]
Er  0.000  0.213  0.332 [4 per cell]
Pb  0.000  0.467  0.770 [4 per cell]
S  0.000  0.058  0.389 [4 per cell]
S  0.000  0.284  0.965 [4 per cell]
S  0.000  0.317  0.696 [4 per cell]
S  0.000  0.361  0.314 [4 per cell]
S  0.000  0.490  0.079 [4 per cell]

calculated volume	1000.3	Å³ per cell
magnetic moment	0.00	μB/f.u.
uncorrected formation energy	-1568.2	meV/atom
density of states at the Fermi level	10.3	states/eV/cell

=====

(2)
DFT (GGA-PBE) results for ZnTeCl2 after structural relaxation.

abc: 14.291 3.318 5.730
angles: 90.00 102.86 90.00
Space group Cm (No. 8)
Inequivalent atoms, fractional coordinates:
Zn  0.000  0.000  0.000 [2 per cell]
Te  0.365  0.000  0.678 [2 per cell]
Cl  0.117  0.500  0.094 [2 per cell]
Cl  0.390  0.000  0.202 [2 per cell]

calculated volume	264.9	Å³ per cell
magnetic moment	0.00	μB/f.u.
excess energy over the best structure of this formula in the dataset	0.153	eV/atom
uncorrected formation energy	-470.6	meV/atom
density of states at the Fermi level	2.6	states/eV/cell

=====

(3)
DFT (GGA-PBE) results for LiMo2Se after structural relaxation.

abc: 4.464 4.464 2.932
angles: 90.00 90.00 90.00
Space group P4/mmm (No. 123)
Inequivalent atoms, fractional coordinates:
Li  0.000  0.000  0.000 [1 per cell]
Mo  0.000  0.500  0.500 [2 per cell]
Se  0.500  0.500  0.000 [1 per cell]

calculated volume	58.4	Å³ per cell
magnetic moment	0.00	μB/f.u.
uncorrected formation energy	462.0	meV/atom
density of states at the Fermi level	3.4	states/eV/cell

=====

(4)
DFT (GGA-PBE) results for TiSiPt3 after structural relaxation.

abc: 4.701 4.701 4.701
angles: 90.00 90.00 90.00
Space group Pm-3m (No. 221)
Inequivalent atoms, fractional coordinates:
Ti  0.000  0.000  0.000 [1 per cell]
Si  0.500  0.500  0.500 [1 per cell]
Pt  0.000  0.000  0.500 [3 per cell]

calculated volume	103.9	Å³ per cell
magnetic moment	0.00	μB/f.u.
excess energy over the best structure of this formula in the dataset	0.684	eV/atom
uncorrected formation energy	716.6	meV/atom
density of states at the Fermi level	3.2	states/eV/cell